# 1
A plane-wave DFT calculation with PBE-GGA was carried out for an optimized crystal structure of BaIrPd2.

The structure belongs to space group Cm (No. 8); the cell edges are 11.8901, 4.5403 and 7.4548 Å and the angles 90.00°, 118.17° and 90.00°. The asymmetric unit holds Ba at (0.0000, 0.0000, 0.0000), Ba at (0.1933, 0.5000, 0.4362), Ir at (0.0924, 0.0000, 0.6921), Ir at (0.4749, 0.0000, 0.5658), Pd at (0.1952, 0.5000, 0.9176), Pd at (0.3106, 0.0000, 0.1221), Pd at (0.3288, 0.0000, 0.7464) and Pd at (0.4071, 0.5000, 0.3249).

The calculation puts the total magnetization at 0.00 μB per cell. The formation energy is -0.187 eV per atom.

***

# 2
A plane-wave DFT calculation with PBE-GGA was carried out for an optimized crystal structure of BaIrPd.

The structure belongs to space group Imma (No. 74); the cell edges are 4.6981, 5.5275 and 11.2412 Å and the angles 90.00°, 90.00° and 90.00°. The asymmetric unit holds Ba at (0.0000, 0.2500, 0.1284), Ir at (0.0000, 0.2500, 0.7106) and Pd at (0.0000, 0.0000, 0.5000).

The calculation puts the total magnetization at 0.00 μB per cell. The formation energy is -0.183 eV per atom.

***

# 3
A plane-wave DFT calculation with PBE-GGA was carried out for an optimized crystal structure of BaIr2Pd2.

The structure belongs to space group I4/mmm (No. 139); the cell edges are 4.4709, 4.4709 and 10.5891 Å and the angles 90.00°, 90.00° and 90.00°. The asymmetric unit holds Ba at (0.0000, 0.0000, 0.0000), Ir at (0.0000, 0.0000, 0.3893) and Pd at (0.0000, 0.5000, 0.2500).

The calculation puts the total magnetization at 0.00 μB per cell. The formation energy is 0.085 eV per atom.

***

# 4
A plane-wave DFT calculation with PBE-GGA was carried out for an optimized crystal structure of BaIrPd2.

The structure belongs to space group P-1 (No. 2); the cell edges are 5.3898, 5.9019 and 6.6909 Å and the angles 67.73°, 72.77° and 89.97°. The asymmetric unit holds Ba at (0.1150, 0.3555, 0.2520), Ir at (0.1811, 0.1027, 0.8273), Pd at (0.3116, 0.8741, 0.2070), Pd at (0.5000, 0.0000, 0.5000) and Pd at (0.5000, 0.5000, 0.5000).

The calculation puts the total magnetization at 0.00 μB per cell. The formation energy is -0.183 eV per atom.

***

# 5
A plane-wave DFT calculation with PBE-GGA was carried out for an optimized crystal structure of Ba3IrPd.

The structure belongs to space group Pm-3m (No. 221); the cell edges are 5.9698, 5.9698 and 5.9698 Å and the angles 90.00°, 90.00° and 90.00°. The asymmetric unit holds Ba at (0.0000, 0.0000, 0.5000), Ir at (0.0000, 0.0000, 0.0000) and Pd at (0.5000, 0.5000, 0.5000).

The calculation puts the total magnetization at 0.00 μB per cell. The formation energy is 0.023 eV per atom.

***

# 6
A plane-wave DFT calculation with PBE-GGA was carried out for an optimized crystal structure of BaIrPd2.

The structure belongs to space group R-3m (No. 166, hexagonal axes); the cell edges are 4.5089, 4.5089 and 16.4278 Å and the angles 90.00°, 90.00° and 120.00°. The asymmetric unit holds Ba at (0.0000, 0.0000, 0.0000), Ir at (0.0000, 0.0000, 0.5000) and Pd at (0.0000, 0.0000, 0.1928).

The calculation puts the total magnetization at 0.00 μB per cell. The formation energy is -0.186 eV per atom.

***

# 7
A plane-wave DFT calculation with PBE-GGA was carried out for an optimized crystal structure of BaIrPd2.

The structure belongs to space group P1 (No. 1); the cell edges are 5.3436, 6.1318 and 6.8397 Å and the angles 112.24°, 94.77° and 113.60°. The asymmetric unit holds Ba at (0.0000, 0.0000, 0.0000), Ba at (0.2969, 0.7013, 0.5479), Ir at (0.7219, 0.4646, 0.0845), Ir at (0.8692, 0.3299, 0.7460), Pd at (0.3315, 0.6455, 0.0836), Pd at (0.3549, 0.2905, 0.6978), Pd at (0.6279, 0.2403, 0.3455) and Pd at (0.8491, 0.9176, 0.4082).

The calculation puts the total magnetization at 0.00 μB per cell. The formation energy is -0.143 eV per atom.

***

# 8
A plane-wave DFT calculation with PBE-GGA was carried out for an optimized crystal structure of BaIrPd2.

The structure belongs to space group C2/m (No. 12); the cell edges are 11.0781, 4.5829 and 8.6860 Å and the angles 90.00°, 128.23° and 90.00°. The asymmetric unit holds Ba at (0.1697, 0.0000, 0.2867), Ir at (0.2195, 0.0000, 0.9154), Pd at (0.0000, 0.0000, 0.5000), Pd at (0.0000, 0.5000, 0.0000) and Pd at (0.0490, 0.5000, 0.7021).

The calculation puts the total magnetization at 0.00 μB per cell. The formation energy is -0.198 eV per atom.

***

# 9
A plane-wave DFT calculation with PBE-GGA was carried out for an optimized crystal structure of Ba6IrPd2.

The structure belongs to space group Pnnm (No. 58); the cell edges are 7.5398, 7.9775 and 13.5043 Å and the angles 90.00°, 90.00° and 90.00°. The asymmetric unit holds Ba at (0.2203, 0.1767, 0.0000), Ba at (0.2350, 0.6645, 0.1614), Ir at (0.0000, 0.5000, 0.0000) and Pd at (0.0000, 0.0000, 0.1781).

The calculation puts the total magnetization at 0.00 μB per cell. The formation energy is -0.320 eV per atom.

***

# 10
A plane-wave DFT calculation with PBE-GGA was carried out for an optimized crystal structure of Ba8IrPd3.

The structure belongs to space group C222 (No. 21); the cell edges are 9.1074, 13.1967 and 9.1890 Å and the angles 90.00°, 90.00° and 90.00°. The asymmetric unit holds Ba at (0.0000, 0.2333, 0.0000), Ba at (0.0000, 0.2420, 0.5000), Ba at (0.2349, 0.0077, 0.2412), Ir at (0.0000, 0.0000, 0.0000), Pd at (0.0000, 0.0000, 0.5000) and Pd at (0.2500, 0.2500, 0.2539).

The calculation puts the total magnetization at 0.00 μB per cell. The formation energy is -0.343 eV per atom.

***

# 11
A plane-wave DFT calculation with PBE-GGA was carried out for an optimized crystal structure of Ba8IrPdPt2.

The structure belongs to space group P2/m (No. 10); the cell edges are 7.4658, 9.3549 and 7.5747 Å and the angles 90.00°, 90.10° and 90.00°. The asymmetric unit holds Ba at (0.2193, 0.0000, 0.1742), Ba at (0.2290, 0.5000, 0.1832), Ba at (0.2788, 0.2587, 0.6770), Ir at (0.5000, 0.5000, 0.5000), Pd at (0.5000, 0.0000, 0.5000) and Pt at (0.0000, 0.2514, 0.0000).

The calculation puts the total magnetization at 0.00 μB per cell. The formation energy is -0.449 eV per atom.

***

# 12
A plane-wave DFT calculation with PBE-GGA was carried out for an optimized crystal structure of Ba2IrPdPt.

The structure belongs to space group P4/mmm (No. 123); the cell edges are 6.0813, 6.0813 and 4.7747 Å and the angles 90.00°, 90.00° and 90.00°. The asymmetric unit holds Ba at (0.0000, 0.5000, 0.0000), Ir at (0.0000, 0.0000, 0.5000), Pd at (0.5000, 0.5000, 0.5000) and Pt at (0.0000, 0.0000, 0.0000).

The calculation puts the total magnetization at 0.00 μB per cell. The formation energy is 0.161 eV per atom.

***

Repeat the first record exactly.
A plane-wave DFT calculation with PBE-GGA was carried out for an optimized crystal structure of BaIrPd2.

The structure belongs to space group Cm (No. 8); the cell edges are 11.8901, 4.5403 and 7.4548 Å and the angles 90.00°, 118.17° and 90.00°. The asymmetric unit holds Ba at (0.0000, 0.0000, 0.0000), Ba at (0.1933, 0.5000, 0.4362), Ir at (0.0924, 0.0000, 0.6921), Ir at (0.4749, 0.0000, 0.5658), Pd at (0.1952, 0.5000, 0.9176), Pd at (0.3106, 0.0000, 0.1221), Pd at (0.3288, 0.0000, 0.7464) and Pd at (0.4071, 0.5000, 0.3249).

The calculation puts the total magnetization at 0.00 μB per cell. The formation energy is -0.187 eV per atom.

***

What is the formula in the seventh record? BaIrPd2